No. 1
# PBE Tb2Pa2C3, optimized geometry
data_Tb2Pa2C3
_cell_length_a 13.354
_cell_length_b 3.565
_cell_length_c 6.053
_cell_angle_alpha 90.00
_cell_angle_beta 116.71
_cell_angle_gamma 90.00
_symmetry_space_group_name_H-M 'C 1 2/m 1'
_symmetry_Int_Tables_number 12
loop_
_symmetry_equiv_pos_as_xyz
'x,y,z'
'-x,-y,-z'
'-x,y,-z'
'x,-y,z'
'x+1/2,y+1/2,z'
'-x+1/2,-y+1/2,-z'
'-x+1/2,y+1/2,-z'
'x+1/2,-y+1/2,z'
loop_
_atom_site_label
_atom_site_type_symbol
_atom_site_fract_x
_atom_site_fract_y
_atom_site_fract_z
Tb1 Tb 0.128 0.000 0.470
Pa1 Pa 0.125 0.500 0.944
C1 C 0.000 0.500 0.500
C2 C 0.238 0.000 0.206
# E_form in eV per atom: -0.2669
# N(E_F) in states/eV/f.u.: 5.118



No. 2
# PBE Sc2MoC2, optimized geometry
data_Sc2MoC2
_cell_length_a 6.127
_cell_length_b 6.127
_cell_length_c 3.325
_cell_angle_alpha 90.00
_cell_angle_beta 90.00
_cell_angle_gamma 90.00
_symmetry_space_group_name_H-M 'P 4/m b m'
_symmetry_Int_Tables_number 127
_symmetry_space_group_name_Hall '-P 4 2ab'
loop_
_atom_site_label
_atom_site_type_symbol
_atom_site_fract_x
_atom_site_fract_y
_atom_site_fract_z
Sc1 Sc 0.157 0.343 0.000
Mo1 Mo 0.000 0.000 0.500
C1 C 0.162 0.662 0.500
# E_form in eV per atom: -0.1945
# N(E_F) in states/eV/f.u.: 3.720



No. 3
# PBE SmEr2ScTe6, optimized geometry
data_SmEr2ScTe6
_cell_length_a 7.6024
_cell_length_b 7.6024
_cell_length_c 20.8537
_cell_angle_alpha 90.00
_cell_angle_beta 90.00
_cell_angle_gamma 120.00
_symmetry_space_group_name_H-M 'R 3'
_symmetry_Int_Tables_number 146
_symmetry_space_group_name_Hall 'R 3'
loop_
_atom_site_label
_atom_site_type_symbol
_atom_site_fract_x
_atom_site_fract_y
_atom_site_fract_z
Sm1 Sm 0.0000 0.0000 0.0000
Er1 Er 0.0000 0.0000 0.3129
Er2 Er 0.0000 0.0000 0.8154
Sc1 Sc 0.0000 0.0000 0.4971
Te1 Te 0.0049 0.6961 0.4091
Te2 Te 0.0149 0.3375 0.5714
# Raw total energy in eV/atom: -5.21



No. 4
# PBE Os2Ru, optimized geometry
data_Os2Ru
_cell_length_a 5.442
_cell_length_b 5.435
_cell_length_c 11.833
_cell_angle_alpha 90.00
_cell_angle_beta 103.11
_cell_angle_gamma 90.00
_symmetry_space_group_name_H-M 'C 1 2/c 1'
_symmetry_Int_Tables_number 15
loop_
_symmetry_equiv_pos_as_xyz
'x,y,z'
'-x,-y,-z'
'-x,y,-z+1/2'
'x,-y,z+1/2'
'x+1/2,y+1/2,z'
'-x+1/2,-y+1/2,-z'
'-x+1/2,y+1/2,-z+1/2'
'x+1/2,-y+1/2,z+1/2'
loop_
_atom_site_label
_atom_site_type_symbol
_atom_site_fract_x
_atom_site_fract_y
_atom_site_fract_z
Os1 Os 0.083 0.125 0.417
Os2 Os 0.249 0.375 0.249
Ru1 Ru 0.083 0.375 0.916
# E_form in eV per atom: 0.1187
# N(E_F) in states/eV/f.u.: 2.347



No. 5
# PBE TmLuCu, optimized geometry
data_TmLuCu
_cell_length_a 6.721
_cell_length_b 6.721
_cell_length_c 6.721
_cell_angle_alpha 90.00
_cell_angle_beta 90.00
_cell_angle_gamma 90.00
_symmetry_space_group_name_H-M 'F -4 3 m'
_symmetry_Int_Tables_number 216
_symmetry_space_group_name_Hall 'F -4 2 3'
loop_
_atom_site_label
_atom_site_type_symbol
_atom_site_fract_x
_atom_site_fract_y
_atom_site_fract_z
Tm1 Tm 0.000 0.000 0.000
Lu1 Lu 0.000 0.000 0.500
Cu1 Cu 0.250 0.250 0.750
# E_form in eV per atom: 0.0094
# N(E_F) in states/eV/f.u.: 2.532



No. 6
# PBE KFeSbSe2, optimized geometry
data_KFeSbSe2
_cell_length_a 5.404
_cell_length_b 5.404
_cell_length_c 6.423
_cell_angle_alpha 90.00
_cell_angle_beta 90.00
_cell_angle_gamma 90.00
_symmetry_space_group_name_H-M 'P 4/m m m'
_symmetry_Int_Tables_number 123
_symmetry_space_group_name_Hall '-P 4 2'
loop_
_atom_site_label
_atom_site_type_symbol
_atom_site_fract_x
_atom_site_fract_y
_atom_site_fract_z
K1 K 0.000 0.000 0.000
Fe1 Fe 0.500 0.500 0.000
Sb1 Sb 0.000 0.000 0.500
Se1 Se 0.000 0.500 0.500
# N(E_F) in states/eV/f.u.: 2.953
# Raw total energy in eV/atom: -3.36



No. 7
# PBE Sc2BeTl, optimized geometry
data_Sc2BeTl
_cell_length_a 6.838
_cell_length_b 6.838
_cell_length_c 6.838
_cell_angle_alpha 90.00
_cell_angle_beta 90.00
_cell_angle_gamma 90.00
_symmetry_space_group_name_H-M 'F m -3 m'
_symmetry_Int_Tables_number 225
_symmetry_space_group_name_Hall '-F 4 2 3'
loop_
_atom_site_label
_atom_site_type_symbol
_atom_site_fract_x
_atom_site_fract_y
_atom_site_fract_z
Sc1 Sc 0.250 0.250 0.250
Be1 Be 0.000 0.000 0.000
Tl1 Tl 0.000 0.000 0.500
# E_form in eV per atom: -0.0599
# N(E_F) in states/eV/f.u.: 3.820



No. 8
# PBE ZnAgPO4, optimized geometry
data_ZnAgPO4
_cell_length_a 5.208
_cell_length_b 5.208
_cell_length_c 7.644
_cell_angle_alpha 90.00
_cell_angle_beta 90.00
_cell_angle_gamma 90.00
_symmetry_space_group_name_H-M 'I -4'
_symmetry_Int_Tables_number 82
loop_
_symmetry_equiv_pos_as_xyz
'x,y,z'
'y,-x,-z'
'-x,-y,z'
'-y,x,-z'
'x+1/2,y+1/2,z+1/2'
'y+1/2,-x+1/2,-z+1/2'
'-x+1/2,-y+1/2,z+1/2'
'-y+1/2,x+1/2,-z+1/2'
loop_
_atom_site_label
_atom_site_type_symbol
_atom_site_fract_x
_atom_site_fract_y
_atom_site_fract_z
Zn1 Zn 0.000 0.000 0.000
Ag1 Ag 0.000 0.000 0.500
P1 P 0.000 0.500 0.250
O1 O 0.136 0.293 0.136
# N(E_F) in states/eV/f.u.: 0.000
# Raw total energy in eV/atom: -5.81



No. 9
# PBE Li8MgZn5, optimized geometry
data_Li8MgZn5
_cell_length_a 7.664
_cell_length_b 7.664
_cell_length_c 8.129
_cell_angle_alpha 90.00
_cell_angle_beta 90.00
_cell_angle_gamma 90.00
_symmetry_space_group_name_H-M 'I -4'
_symmetry_Int_Tables_number 82
loop_
_symmetry_equiv_pos_as_xyz
'x,y,z'
'y,-x,-z'
'-x,-y,z'
'-y,x,-z'
'x+1/2,y+1/2,z+1/2'
'y+1/2,-x+1/2,-z+1/2'
'-x+1/2,-y+1/2,z+1/2'
'-y+1/2,x+1/2,-z+1/2'
loop_
_atom_site_label
_atom_site_type_symbol
_atom_site_fract_x
_atom_site_fract_y
_atom_site_fract_z
Li1 Li 0.071 0.172 0.344
Li2 Li 0.101 0.335 0.996
Mg1 Mg 0.000 0.000 0.000
Zn1 Zn 0.000 0.500 0.250
Zn2 Zn 0.118 0.299 0.673
# E_form in eV per atom: -0.0281
# N(E_F) in states/eV/f.u.: 5.620



No. 10
# PBE PmNd4Sn4, optimized geometry
data_PmNd4Sn4
_cell_length_a 9.692
_cell_length_b 9.692
_cell_length_c 6.434
_cell_angle_alpha 90.00
_cell_angle_beta 90.00
_cell_angle_gamma 90.00
_symmetry_space_group_name_H-M 'P 42/n'
_symmetry_Int_Tables_number 86
loop_
_symmetry_equiv_pos_as_xyz
'x,y,z'
'-x,-y,-z'
'-y,x+1/2,z+1/2'
'y,-x+1/2,-z+1/2'
'-x+1/2,-y+1/2,z'
'x+1/2,y+1/2,-z'
'y+1/2,-x,z+1/2'
'-y+1/2,x,-z+1/2'
loop_
_atom_site_label
_atom_site_type_symbol
_atom_site_fract_x
_atom_site_fract_y
_atom_site_fract_z
Pm1 Pm 0.250 0.250 0.250
Nd1 Nd 0.046 0.665 0.123
Sn1 Sn 0.026 0.638 0.618
# E_form in eV per atom: -0.4722
# N(E_F) in states/eV/f.u.: 8.737